First-principles (meta-GGA SCAN) data for ScSe2Br at its PBEsol-relaxed geometry, as listed in the Alexandria database.

Output
- excess energy over the best structure of this formula in the dataset (meV/atom) = 584.4
- theoretical density (g/cm3) = 4.79
- formation energy without anion corrections (eV/atom) = -0.724

Unit cell a=4.471 b=4.554 c=9.625 alpha=90.00 beta=90.00 gamma=90.00
Space group Cmm2 (No. 35)
Asymmetric unit:
Sc (0.000, 0.000, 0.000) (multiplicity 2)
Se (0.000, 0.000, 0.475) (multiplicity 2)
Se (0.000, 0.500, 0.155) (multiplicity 2)
Br (0.000, 0.500, 0.813) (multiplicity 2)

=====

First-principles (meta-GGA SCAN) data for ScSe2Br at its PBEsol-relaxed geometry, as listed in the Alexandria database.

Output
- excess energy over the best structure of this formula in the dataset (meV/atom) = 0.0
- theoretical density (g/cm3) = 4.68
- formation energy without anion corrections (eV/atom) = -1.308

Unit cell a=5.184 b=3.857 c=5.247 alpha=90.00 beta=107.13 gamma=90.00
Space group P2/m (No. 10)
Asymmetric unit:
Sc (0.000, 0.000, 0.000) (multiplicity 1)
Se (0.383, 0.500, 0.164) (multiplicity 2)
Br (0.000, 0.000, 0.500) (multiplicity 1)

=====

First-principles (meta-GGA SCAN) data for ScSiSeBr2 at its PBEsol-relaxed geometry, as listed in the Alexandria database.

Output
- theoretical density (g/cm3) = 4.19
- formation energy without anion corrections (eV/atom) = -0.177

Unit cell a=4.937 b=4.937 c=5.071 alpha=90.00 beta=90.00 gamma=90.00
Space group P4/mmm (No. 123)
Asymmetric unit:
Sc (0.000, 0.000, 0.000) (multiplicity 1)
Si (0.500, 0.500, 0.500) (multiplicity 1)
Se (0.500, 0.500, 0.000) (multiplicity 1)
Br (0.000, 0.500, 0.500) (multiplicity 2)

=====

First-principles (meta-GGA SCAN) data for ScTcSe2Br at its PBEsol-relaxed geometry, as listed in the Alexandria database.

Output
- theoretical density (g/cm3) = 5.54
- formation energy without anion corrections (eV/atom) = -0.038

Unit cell a=4.790 b=4.790 c=4.971 alpha=90.00 beta=90.00 gamma=90.00
Space group P4/mmm (No. 123)
Asymmetric unit:
Sc (0.000, 0.000, 0.000) (multiplicity 1)
Tc (0.500, 0.500, 0.500) (multiplicity 1)
Se (0.000, 0.500, 0.500) (multiplicity 2)
Br (0.500, 0.500, 0.000) (multiplicity 1)